This record from Alexandria describes an optimized crystal structure of CaTlMoO4. The functional is PBE with a Hubbard U.

abc: 6.622 6.065 7.563
angles: 90.00 99.12 90.00
Fractional positions:
Ca 0.859 0.750 0.414
Ca 0.141 0.250 0.586
Tl 0.754 0.750 0.880
Tl 0.246 0.250 0.120
Mo 0.343 0.750 0.400
Mo 0.657 0.250 0.600
O 0.866 0.479 0.639
O 0.134 0.979 0.361
O 0.134 0.521 0.361
O 0.866 0.021 0.639
O 0.524 0.750 0.241
O 0.476 0.250 0.759
O 0.446 0.750 0.635
O 0.554 0.250 0.365

Summary:
Magnetic moment ... 1.00 μB/f.u.
Energy ... -43.71 eV per formula unit